Record 1
Density functional theory data (SCAN) for LiIrPd3 at its PBEsol-relaxed geometry.

Output
Energy of formation (eV per formula unit): 3.22

Unit cell a=4.094 b=4.094 c=4.094 alpha=90.00 beta=90.00 gamma=90.00
Fractional coordinates of all 5 atoms:
Li 0.000 0.000 0.000
Ir 0.500 0.500 0.500
Pd 0.000 0.000 0.500
Pd 0.000 0.500 0.000
Pd 0.500 0.000 0.000

***

Record 2
Density functional theory data (SCAN) for LiIrPd2 at its PBEsol-relaxed geometry.

Output
Energy of formation (eV per formula unit): 0.34

Unit cell a=6.076 b=6.076 c=6.076 alpha=90.00 beta=90.00 gamma=90.00
Fractional coordinates of all 16 atoms:
Li 0.000 0.000 0.000
Li 0.000 0.500 0.500
Li 0.500 0.000 0.500
Li 0.500 0.500 0.000
Ir 0.000 0.000 0.500
Ir 0.000 0.500 0.000
Ir 0.500 0.000 0.000
Ir 0.500 0.500 0.500
Pd 0.250 0.250 0.250
Pd 0.250 0.250 0.750
Pd 0.250 0.750 0.250
Pd 0.250 0.750 0.750
Pd 0.750 0.250 0.250
Pd 0.750 0.250 0.750
Pd 0.750 0.750 0.250
Pd 0.750 0.750 0.750

***

Record 3
Density functional theory data (SCAN) for LiIrPd2 at its PBEsol-relaxed geometry.

Output
Energy of formation (eV per formula unit): 1.42

Unit cell a=3.696 b=3.696 c=17.396 alpha=90.00 beta=90.00 gamma=90.00
Fractional coordinates of all 16 atoms:
Li 0.000 0.000 0.000
Li 0.000 0.500 0.250
Li 0.500 0.000 0.750
Li 0.500 0.500 0.500
Ir 0.000 0.000 0.500
Ir 0.000 0.500 0.750
Ir 0.500 0.000 0.250
Ir 0.500 0.500 0.000
Pd 0.249 0.250 0.125
Pd 0.250 0.749 0.375
Pd 0.250 0.751 0.875
Pd 0.251 0.250 0.625
Pd 0.749 0.750 0.625
Pd 0.750 0.249 0.875
Pd 0.750 0.251 0.375
Pd 0.751 0.750 0.125